The following is a DFT calculation (PBE) of a relaxed structure of CrBSe3.

Structure (CIF):
```
data_CrBSe3
_chemical_formula_sum 'Cr1 B1 Se3'
_space_group_name_H-M_alt 'P 1'
_space_group_IT_number 1
_cell_length_a 4.7949
_cell_length_b 4.7949
_cell_length_c 4.7949
_cell_angle_alpha 90.00
_cell_angle_beta 90.00
_cell_angle_gamma 90.00
loop_
_space_group_symop_operation_xyz
'x,y,z'
loop_
_atom_site_label
_atom_site_fract_x
_atom_site_fract_y
_atom_site_fract_z
B1 0.5000 0.5000 0.5000
Se1 0.0000 0.0000 0.5000
Se2 0.5000 0.0000 0.0000
Cr1 0.0000 0.0000 0.0000
Se3 0.0000 0.5000 0.0000
```

As for the symmetry: No. 221. The uncorrected formation energy comes out at 97.86 kJ/mol of atoms. Its energy above the most stable polymorph in this dataset is 0.000 eV/atom.

---

The following is a DFT calculation (PBE) of a relaxed structure of Dy2CuF8.

Structure (CIF):
```
data_Dy2CuF8
_chemical_formula_sum 'Dy2 Cu1 F8'
_space_group_name_H-M_alt 'P 1'
_space_group_IT_number 1
_cell_length_a 3.4532
_cell_length_b 5.7921
_cell_length_c 8.2449
_cell_angle_alpha 85.05
_cell_angle_beta 102.10
_cell_angle_gamma 95.90
loop_
_space_group_symop_operation_xyz
'x,y,z'
loop_
_atom_site_label
_atom_site_fract_x
_atom_site_fract_y
_atom_site_fract_z
F1 0.3129 0.0750 0.7595
Dy1 0.8263 0.3535 0.6962
F2 0.6871 0.9250 0.2405
F3 0.9223 0.2294 0.9696
F4 0.6008 0.4526 0.2224
F5 0.0777 0.7706 0.0304
Cu1 0.5000 0.0000 0.0000
F6 0.3992 0.5474 0.7776
F7 0.2203 0.3280 0.4959
Dy2 0.1737 0.6465 0.3038
F8 0.7797 0.6720 0.5041
```

As for the symmetry: No. 2. The uncorrected formation energy comes out at -322.25 kJ/mol of atoms. Its energy above the most stable polymorph in this dataset is 0.057 eV/atom.

---

The following is a DFT calculation (PBE) of a relaxed structure of NbTc2Sn2.

Structure (CIF):
```
data_NbTc2Sn2
_chemical_formula_sum 'Nb2 Tc4 Sn4'
_space_group_name_H-M_alt 'P 1'
_space_group_IT_number 1
_cell_length_a 7.3436
_cell_length_b 7.3436
_cell_length_c 3.4084
_cell_angle_alpha 90.00
_cell_angle_beta 90.00
_cell_angle_gamma 90.00
loop_
_space_group_symop_operation_xyz
'x,y,z'
loop_
_atom_site_label
_atom_site_fract_x
_atom_site_fract_y
_atom_site_fract_z
Tc1 0.1340 0.3660 0.0000
Nb1 0.0000 0.0000 0.0000
Tc2 0.3660 0.8660 0.0000
Sn1 0.6652 0.8348 0.5000
Sn2 0.1652 0.6652 0.5000
Tc3 0.6340 0.1340 0.0000
Tc4 0.8660 0.6340 0.0000
Sn3 0.3348 0.1652 0.5000
Nb2 0.5000 0.5000 0.0000
Sn4 0.8348 0.3348 0.5000
```

The formation energy comes out at 0.227 eV/atom. As for the symmetry: No. 127.

---

The following is a DFT calculation (PBE) of a relaxed structure of SmAs2Pb.

Structure (CIF):
```
data_SmAs2Pb
_chemical_formula_sum 'Sm1 As2 Pb1'
_space_group_name_H-M_alt 'P 1'
_space_group_IT_number 1
_cell_length_a 4.5109
_cell_length_b 4.5109
_cell_length_c 8.4971
_cell_angle_alpha 74.61
_cell_angle_beta 74.61
_cell_angle_gamma 60.00
loop_
_space_group_symop_operation_xyz
'x,y,z'
loop_
_atom_site_label
_atom_site_fract_x
_atom_site_fract_y
_atom_site_fract_z
Sm1 0.5000 0.5000 0.5000
Pb1 0.0000 0.0000 0.0000
As1 0.1104 0.1104 0.6688
As2 0.8896 0.8896 0.3312
```

The formation energy comes out at -0.203 eV/atom. As for the symmetry: No. 166. Its energy above the most stable polymorph in this dataset is 0.356 eV/atom.

---

The following is a DFT calculation (PBE) of a relaxed structure of Ni2TeN.

Structure (CIF):
```
data_Ni2TeN
_chemical_formula_sum 'Ni2 Te1 N1'
_space_group_name_H-M_alt 'P 1'
_space_group_IT_number 1
_cell_length_a 4.1679
_cell_length_b 4.1679
_cell_length_c 4.1679
_cell_angle_alpha 60.00
_cell_angle_beta 60.00
_cell_angle_gamma 60.00
loop_
_space_group_symop_operation_xyz
'x,y,z'
loop_
_atom_site_label
_atom_site_fract_x
_atom_site_fract_y
_atom_site_fract_z
N1 0.0000 0.0000 0.0000
Ni1 0.2500 0.2500 0.2500
Ni2 0.7500 0.7500 0.7500
Te1 0.5000 0.5000 0.5000
```

As for the symmetry: No. 225. The uncorrected formation energy comes out at 82.27 kJ/mol of atoms. Its energy above the most stable polymorph in this dataset is 0.752 eV/atom.

---

The following is a DFT calculation (PBE) of a relaxed structure of CoMoPb3.

Structure (CIF):
```
data_CoMoPb3
_chemical_formula_sum 'Co1 Mo1 Pb3'
_space_group_name_H-M_alt 'P 1'
_space_group_IT_number 1
_cell_length_a 5.0681
_cell_length_b 5.0681
_cell_length_c 5.0681
_cell_angle_alpha 90.00
_cell_angle_beta 90.00
_cell_angle_gamma 90.00
loop_
_space_group_symop_operation_xyz
'x,y,z'
loop_
_atom_site_label
_atom_site_fract_x
_atom_site_fract_y
_atom_site_fract_z
Pb1 0.5000 0.0000 0.0000
Pb2 0.0000 0.5000 0.0000
Mo1 0.5000 0.5000 0.5000
Pb3 0.0000 0.0000 0.5000
Co1 0.0000 0.0000 0.0000
```

The formation energy comes out at 0.964 eV/atom. As for the symmetry: No. 221. Its energy above the most stable polymorph in this dataset is 0.000 eV/atom.

---

The following is a DFT calculation (PBE) of a relaxed structure of MnBeTe2.

Structure (CIF):
```
data_MnBeTe2
_chemical_formula_sum 'Mn1 Be1 Te2'
_space_group_name_H-M_alt 'P 1'
_space_group_IT_number 1
_cell_length_a 7.4896
_cell_length_b 7.4896
_cell_length_c 7.4896
_cell_angle_alpha 152.48
_cell_angle_beta 152.62
_cell_angle_gamma 39.21
loop_
_space_group_symop_operation_xyz
'x,y,z'
loop_
_atom_site_label
_atom_site_fract_x
_atom_site_fract_y
_atom_site_fract_z
Mn1 0.6703 0.1703 0.5000
Te1 0.2577 0.7577 0.5000
Be1 0.5583 0.5583 0.0000
Te2 0.0136 0.0136 0.0000
```

As for the symmetry: No. 44. The uncorrected formation energy comes out at 10.19 kJ/mol of atoms.

---

The following is a DFT calculation (PBE) of a relaxed structure of FeTeIrN2.

Structure (CIF):
```
data_FeTeIrN2
_chemical_formula_sum 'Fe1 Te1 Ir1 N2'
_space_group_name_H-M_alt 'P 1'
_space_group_IT_number 1
_cell_length_a 3.6249
_cell_length_b 3.6249
_cell_length_c 5.8656
_cell_angle_alpha 90.00
_cell_angle_beta 90.00
_cell_angle_gamma 90.00
loop_
_space_group_symop_operation_xyz
'x,y,z'
loop_
_atom_site_label
_atom_site_fract_x
_atom_site_fract_y
_atom_site_fract_z
Fe1 0.0000 0.0000 0.0000
Ir1 0.5000 0.5000 0.5000
N1 0.5000 0.0000 0.0000
Te1 0.0000 0.0000 0.5000
N2 0.0000 0.5000 0.0000
```

As for the symmetry: No. 123. The uncorrected formation energy comes out at 110.06 kJ/mol of atoms. Its energy above the most stable polymorph in this dataset is 0.149 eV/atom.

---

Number 1: raw total energy -4.34 eV/atom, theoretical density 4.5 g/cm3. Number 2: raw total energy -5.91 eV/atom, theoretical density 5.6 g/cm3. Number 3: raw total energy -7.53 eV/atom, theoretical density 9.5 g/cm3. Number 4: raw total energy -4.63 eV/atom, theoretical density 5.9 g/cm3. Number 5: raw total energy -4.90 eV/atom, theoretical density 8.4 g/cm3. Number 6: raw total energy -4.85 eV/atom, theoretical density 9.9 g/cm3. Number 7: raw total energy -4.69 eV/atom, theoretical density 5.9 g/cm3. Number 8: raw total energy -6.28 eV/atom, theoretical density 8.7 g/cm3.